[1]
Crystalline CsKSnO2 at its relaxed geometry, computed with PBE-GGA.

Total magnetization, μB per formula unit: 0.00
Volume, Å³/f.u.: 126
Energy relative to the elements, uncorrected, eV/atom: -1.20
Calculated total energy, eV per atom: -4.38

Cell and atoms, written as POSCAR:
```
CsKSnO2
1.0
6.304 -2.524 0.000
6.304 2.524 0.000
-2.701 0.000 7.899
Cs K Sn O
2 2 2 4
direct
0.150 0.150 0.093
0.850 0.850 0.907
0.158 0.158 0.547
0.842 0.842 0.453
0.480 0.480 0.299
0.520 0.520 0.701
0.020 0.020 0.733
0.384 0.384 0.468
0.616 0.616 0.532
0.980 0.980 0.267
```

***

[2]
Crystalline TbPaC2 at its relaxed geometry, computed with PBE-GGA.

Offset from the most stable computed form, eV per formula unit: 1.39
Total magnetization, μB per formula unit: 0.00
Volume, Å³/f.u.: 68
Energy relative to the elements, eV per atom: -0.0377
Calculated total energy, eV per atom: -8.18

Cell and atoms, written as POSCAR:
```
TbPaC2
1.0
3.095 -1.787 0.000
3.095 1.787 0.000
-0.011 0.000 6.105
Tb Pa C
1 1 2
direct
0.000 0.000 0.000
0.000 0.000 0.500
0.333 0.333 0.721
0.667 0.667 0.279
```

***

[3]
Crystalline Rb6I2ClO at its relaxed geometry, computed with PBE-GGA.

Total magnetization, μB per formula unit: 0.00
Volume, Å³/f.u.: 461
Energy relative to the elements, uncorrected, eV/atom: -1.23
Calculated total energy, eV per atom: -2.80

Cell and atoms, written as POSCAR:
```
Rb6I2ClO
1.0
8.299 0.000 0.000
0.000 12.127 0.000
0.000 0.000 9.152
Rb I Cl O
12 4 2 2
direct
0.005 0.250 0.065
0.020 0.250 0.502
0.250 0.020 0.270
0.250 0.480 0.270
0.480 0.250 0.502
0.495 0.250 0.065
0.505 0.750 0.935
0.520 0.750 0.498
0.750 0.520 0.730
0.750 0.980 0.730
0.980 0.750 0.498
0.995 0.750 0.935
0.250 0.528 0.677
0.250 0.972 0.677
0.750 0.028 0.323
0.750 0.472 0.323
0.250 0.750 0.221
0.750 0.250 0.779
0.250 0.250 0.275
0.750 0.750 0.725
```

***

[4]
Crystalline Pr5ThIn3 at its relaxed geometry, computed with PBE-GGA.

Total magnetization, μB per formula unit: 1.59
Volume, Å³/f.u.: 283
Energy relative to the elements, eV per atom: -0.3034
Calculated total energy, eV per atom: -4.70

Cell and atoms, written as POSCAR:
```
Pr5ThIn3
1.0
9.714 0.000 0.000
-4.857 8.412 0.000
0.000 0.000 6.916
Pr Th In
10 2 6
direct
0.000 0.330 0.250
0.000 0.670 0.750
0.330 0.000 0.250
0.330 0.330 0.750
0.333 0.667 0.000
0.333 0.667 0.500
0.667 0.333 0.000
0.667 0.333 0.500
0.670 0.000 0.750
0.670 0.670 0.250
0.000 0.000 0.000
0.000 0.000 0.500
0.000 0.334 0.750
0.000 0.666 0.250
0.334 0.000 0.750
0.334 0.334 0.250
0.666 0.000 0.250
0.666 0.666 0.750
```

***

[5]
Crystalline Ni2SbW at its relaxed geometry, computed with PBE-GGA.

Total magnetization, μB per formula unit: 0.62
Volume, Å³/f.u.: 59
Energy relative to the elements, uncorrected, eV/atom: 0.29
Calculated total energy, eV per atom: -6.87

Cell and atoms, written as POSCAR:
```
Ni2SbW
1.0
-1.893 1.893 4.094
1.893 -1.893 4.094
1.893 1.893 -4.094
Ni Sb W
2 1 1
direct
0.000 0.000 0.000
0.750 0.250 0.500
0.250 0.750 0.500
0.500 0.500 0.000
```

***

[6]
Crystalline Sc2TlCl at its relaxed geometry, computed with PBE-GGA.

Offset from the most stable computed form, eV per formula unit: 1.65
Total magnetization, μB per formula unit: 0.00
Volume, Å³/f.u.: 113
Energy relative to the elements, uncorrected, eV/atom: -0.28
Calculated total energy, eV per atom: -4.50

Cell and atoms, written as POSCAR:
```
Sc2TlCl
1.0
-2.813 2.813 7.152
2.813 -2.813 7.152
2.813 2.813 -7.152
Sc Tl Cl
4 2 2
direct
0.074 0.625 0.949
0.375 0.324 0.449
0.676 0.125 0.051
0.875 0.926 0.551
0.250 0.750 0.500
0.500 0.500 0.000
0.000 0.000 0.000
0.750 0.250 0.500
```

***

[7]
Crystalline Sb3HOs at its relaxed geometry, computed with PBE-GGA.

Total magnetization, μB per formula unit: 0.00
Volume, Å³/f.u.: 92
Calculated total energy, eV per atom: -4.43

Cell and atoms, written as POSCAR:
```
Sb3HOs
1.0
4.520 0.000 0.000
0.000 4.520 0.000
0.000 0.000 4.520
Sb H Os
3 1 1
direct
0.000 0.000 0.500
0.000 0.500 0.000
0.500 0.000 0.000
0.000 0.000 0.000
0.500 0.500 0.500
```

***

[8]
Crystalline I3Br at its relaxed geometry, computed with PBE-GGA.

Offset from the most stable computed form, eV per formula unit: 0.00
Total magnetization, μB per formula unit: 0.00
Volume, Å³/f.u.: 181
Energy relative to the elements, uncorrected, eV/atom: 0.14
Calculated total energy, eV per atom: -1.44

Cell and atoms, written as POSCAR:
```
I3Br
1.0
3.546 -2.931 0.000
3.546 2.931 0.000
-0.008 0.000 8.726
I Br
3 1
direct
0.000 0.000 0.000
0.000 0.500 0.500
0.500 0.000 0.500
0.500 0.500 0.000
```